Entry 1:
The following is a PBE calculation of an optimized crystal structure of LaTbInHg, from Alexandria.

Values from the calculation:
* SG: F-43m, No. 216
* energy of formation from the pure elements: -0.48 eV/atom
* uncorrected energy: -3.625 eV/atom

Structure (extended XYZ):
```
16
Lattice="7.7236 0.0000 0.0000 0.0000 7.7236 0.0000 0.0000 0.0000 7.7236" Properties=species:S:1:pos:R:3 pbc="T T T"
La 0.0000 0.0000 0.0000
La 0.0000 3.8618 3.8618
La 3.8618 0.0000 3.8618
La 3.8618 3.8618 0.0000
Tb 0.0000 0.0000 3.8618
Tb 0.0000 3.8618 0.0000
Tb 3.8618 0.0000 0.0000
Tb 3.8618 3.8618 3.8618
In 1.9309 1.9309 5.7927
In 1.9309 5.7927 1.9309
In 5.7927 1.9309 1.9309
In 5.7927 5.7927 5.7927
Hg 1.9309 1.9309 1.9309
Hg 1.9309 5.7927 5.7927
Hg 5.7927 1.9309 5.7927
Hg 5.7927 5.7927 1.9309
```

Entry 2:
The following is a PBE calculation of an optimized crystal structure of LaTlInHg, from Alexandria.

Values from the calculation:
* SG: F-43m, No. 216
* energy relative to the lowest polymorph listed for this composition: 0.036 eV per atom
* energy of formation from the pure elements: -0.35 eV/atom
* uncorrected energy: -2.934 eV/atom

Structure (extended XYZ):
```
16
Lattice="7.6357 0.0000 0.0000 0.0000 7.6357 0.0000 0.0000 0.0000 7.6357" Properties=species:S:1:pos:R:3 pbc="T T T"
La 0.0000 0.0000 0.0000
La 0.0000 3.8178 3.8178
La 3.8178 0.0000 3.8178
La 3.8178 3.8178 0.0000
Tl 1.9089 1.9089 1.9089
Tl 1.9089 5.7268 5.7268
Tl 5.7268 1.9089 5.7268
Tl 5.7268 5.7268 1.9089
In 0.0000 0.0000 3.8178
In 0.0000 3.8178 0.0000
In 3.8178 0.0000 0.0000
In 3.8178 3.8178 3.8178
Hg 1.9089 1.9089 5.7268
Hg 1.9089 5.7268 1.9089
Hg 5.7268 1.9089 1.9089
Hg 5.7268 5.7268 5.7268
```